1.
Nd2Ga4NiIr3: relaxed, GGA-PBE.

abc: 4.210 4.210 10.486
angles: 90.00 90.00 90.00
Fractional positions:
1 Nd 0.000 0.500 0.243
2 Nd 0.500 0.000 0.757
3 Ga 0.000 0.000 0.500
4 Ga 0.000 0.500 0.876
5 Ga 0.500 0.000 0.124
6 Ga 0.500 0.500 0.500
7 Ni 0.500 0.500 0.000
8 Ir 0.000 0.000 0.000
9 Ir 0.000 0.500 0.637
10 Ir 0.500 0.000 0.363

Values from the calculation:
formation enthalpy at 0 K	-64.0	kJ per mole of atoms
density	10.747	g/cm3
DOS(E_F)	0.445	states/eV/atom

2.
Sr2AcMg2In2: relaxed, GGA-PBE.

abc: 10.878 10.878 10.878
angles: 27.47 27.47 27.47
Fractional positions:
1 Sr 0.126 0.126 0.126
2 Sr 0.874 0.874 0.874
3 Ac 0.000 0.000 0.000
4 Mg 0.396 0.396 0.396
5 Mg 0.604 0.604 0.604
6 In 0.266 0.266 0.266
7 In 0.734 0.734 0.734

Values from the calculation:
formation enthalpy at 0 K	-25.7	kJ per mole of atoms
density	4.674	g/cm3
DOS(E_F)	0.493	states/eV/atom

3.
Pr6Sm3Tm2: relaxed, GGA-PBE.

abc: 17.447 17.447 17.447
angles: 164.16 164.16 22.47
Fractional positions:
1 Pr 0.119 0.619 0.500
2 Pr 0.205 0.205 0.000
3 Pr 0.381 0.881 0.500
4 Pr 0.619 0.119 0.500
5 Pr 0.795 0.795 0.000
6 Pr 0.881 0.381 0.500
7 Sm 0.306 0.306 0.000
8 Sm 0.500 0.500 0.000
9 Sm 0.694 0.694 0.000
10 Tm 0.045 0.045 0.000
11 Tm 0.955 0.955 0.000

Values from the calculation:
formation enthalpy at 0 K	27.4	kJ per mole of atoms
density	6.861	g/cm3
DOS(E_F)	1.551	states/eV/atom

4.
KPm2Cl8: relaxed, GGA-PBE.

abc: 8.119 8.119 5.314
angles: 90.00 90.00 115.89
Fractional positions:
1 K 0.000 0.000 0.000
2 Pm 0.302 0.698 0.500
3 Pm 0.698 0.302 0.500
4 Cl 0.058 0.327 0.500
5 Cl 0.256 0.744 0.000
6 Cl 0.327 0.058 0.500
7 Cl 0.500 0.500 0.247
8 Cl 0.500 0.500 0.753
9 Cl 0.673 0.942 0.500
10 Cl 0.744 0.256 0.000
11 Cl 0.942 0.673 0.500

Values from the calculation:
ΔE_f (raw)	-2.0049	eV/atom
density	3.229	g/cm3
DOS(E_F)	0.690	states/eV/atom

5.
Eu2SBr: relaxed, GGA-PBE.

abc: 7.627 7.627 7.627
angles: 31.96 31.96 31.96
Fractional positions:
1 Eu 0.238 0.238 0.238
2 Eu 0.762 0.762 0.762
3 S 0.500 0.500 0.500
4 Br 0.000 0.000 0.000

Values from the calculation:
ΔE_f (raw)	-1.8022	eV/atom
density	6.255	g/cm3
DOS(E_F)	0.467	states/eV/atom

6.
La4Dy5Tm: relaxed, GGA-PBE.

abc: 8.166 8.166 8.166
angles: 97.94 97.94 136.35
Fractional positions:
1 La 0.000 0.322 0.322
2 La 0.000 0.678 0.678
3 La 0.322 0.000 0.322
4 La 0.678 0.000 0.678
5 Dy 0.287 0.287 0.623
6 Dy 0.287 0.664 0.000
7 Dy 0.664 0.287 0.000
8 Dy 0.664 0.664 0.377
9 Dy 0.739 0.739 0.000
10 Tm 0.218 0.218 0.000

Values from the calculation:
formation enthalpy at 0 K	21.5	kJ per mole of atoms
density	7.316	g/cm3
DOS(E_F)	1.351	states/eV/atom

7.
Pr2TmI: relaxed, GGA-PBE.

abc: 11.087 11.087 11.087
angles: 19.78 19.78 19.78
Fractional positions:
1 Pr 0.246 0.246 0.246
2 Pr 0.754 0.754 0.754
3 Tm 0.000 0.000 0.000
4 I 0.500 0.500 0.500

Values from the calculation:
ΔE_f (raw)	-0.3765	eV/atom
density	7.026	g/cm3
DOS(E_F)	1.137	states/eV/atom

8.
Y2MoBr: relaxed, GGA-PBE.

abc: 5.038 5.716 5.716
angles: 35.21 90.00 90.00
Fractional positions:
1 Y 0.000 0.000 0.000
2 Y 0.500 0.282 0.282
3 Mo 0.000 0.744 0.744
4 Br 0.500 0.552 0.552

Values from the calculation:
ΔE_f (raw)	-0.0973	eV/atom
density	6.188	g/cm3
DOS(E_F)	0.928	states/eV/atom

9.
OsW2: relaxed, GGA-PBE.

abc: 12.432 12.432 12.432
angles: 167.00 167.00 18.42
Fractional positions:
1 Os 0.375 0.625 0.750
2 Os 0.625 0.375 0.250
3 W 0.048 0.798 0.250
4 W 0.202 0.952 0.250
5 W 0.798 0.048 0.750
6 W 0.952 0.202 0.750

Values from the calculation:
formation enthalpy at 0 K	34.1	kJ per mole of atoms
density	19.060	g/cm3
DOS(E_F)	0.607	states/eV/atom

10.
NaVI2: relaxed, GGA-PBE.

abc: 5.426 5.426 5.426
angles: 60.00 60.00 60.00
Fractional positions:
1 Na 0.000 0.000 0.000
2 V 0.500 0.500 0.500
3 I 0.250 0.250 0.250
4 I 0.750 0.750 0.750

Values from the calculation:
ΔE_f (raw)	-0.0722	eV/atom
density	4.817	g/cm3
DOS(E_F)	1.269	states/eV/atom

11.
Dy5Au3: relaxed, GGA-PBE.

abc: 9.226 9.226 9.226
angles: 132.68 132.68 69.15
Fractional positions:
1 Dy 0.000 0.000 0.000
2 Dy 0.016 0.516 0.834
3 Dy 0.182 0.016 0.500
4 Dy 0.318 0.818 0.834
5 Dy 0.484 0.318 0.500
6 Dy 0.500 0.500 0.000
7 Dy 0.516 0.682 0.500
8 Dy 0.682 0.182 0.166
9 Dy 0.818 0.984 0.500
10 Dy 0.984 0.484 0.166
11 Au 0.136 0.364 0.500
12 Au 0.250 0.250 0.000
13 Au 0.364 0.864 0.228
14 Au 0.636 0.136 0.772
15 Au 0.750 0.750 0.000
16 Au 0.864 0.636 0.500

Values from the calculation:
formation enthalpy at 0 K	-61.4	kJ per mole of atoms
density	11.192	g/cm3
DOS(E_F)	1.362	states/eV/atom

12.
Ho2Tm2Hg: relaxed, GGA-PBE.

abc: 12.828 12.828 12.828
angles: 157.53 157.53 31.99
Fractional positions:
1 Ho 0.049 0.299 0.750
2 Ho 0.299 0.049 0.250
3 Ho 0.701 0.951 0.750
4 Ho 0.951 0.701 0.250
5 Tm 0.198 0.448 0.750
6 Tm 0.448 0.198 0.250
7 Tm 0.552 0.802 0.750
8 Tm 0.802 0.552 0.250
9 Hg 0.125 0.875 0.250
10 Hg 0.875 0.125 0.750

Values from the calculation:
formation enthalpy at 0 K	-3.2	kJ per mole of atoms
density	9.360	g/cm3
DOS(E_F)	1.966	states/eV/atom